# 1
Here is Y2ReAu after structural relaxation from Alexandria. Energies are from PBE.

Cell: 3.315 7.611 5.826 Å, 39.98 90.00 90.00°
Sites, in units of the cell vectors:
1 Y 0.000 0.000 0.000
2 Y 0.500 0.500 0.000
3 Re 0.000 0.000 0.500
4 Au 0.500 0.500 0.500

- distance to the lowest polymorph of the same formula (meV per atom) = 425
- symmetry = P2/m (10)


# 2
Here is CoRh after structural relaxation from Alexandria. Energies are from PBE.

Cell: 3.828 3.828 4.666 Å, 90.00 90.00 120.00°
Sites, in units of the cell vectors:
1 Co 0.000 0.000 0.000
2 Co 0.000 0.000 0.500
3 Rh 0.333 0.667 0.250
4 Rh 0.667 0.333 0.750

- symmetry = P6_3/mmc (194)
- uncorrected energy (eV per atom) = -6.680